(1)
Here is Sr2Mg12Zn3In after structural relaxation from Alexandria via LeMat-Bulk. Energies are from GGA-PBE.

M_tot: 0.00 μB per cell
formation energy from the elements: 0.241 eV per atom

The structure in POSCAR format:
```
Sr2Mg12Zn3In
1.0
4.798 2.770 6.830
-4.798 2.770 6.830
0.000 -5.540 6.830
Sr Mg Zn In
2 12 3 1
Direct
0.095 0.095 0.095
0.905 0.905 0.905
0.116 0.634 0.634
0.178 0.178 0.594
0.178 0.594 0.178
0.366 0.366 0.884
0.366 0.884 0.366
0.406 0.822 0.822
0.594 0.178 0.178
0.634 0.116 0.634
0.634 0.634 0.116
0.822 0.406 0.822
0.822 0.822 0.406
0.884 0.366 0.366
0.000 0.500 0.500
0.500 0.000 0.500
0.500 0.500 0.000
0.500 0.500 0.500
```



(2)
Here is K2CuAuF6 after structural relaxation from Alexandria via LeMat-Bulk. Energies are from GGA-PBE.

M_tot: 0.15 μB per cell
energy relative to the elements, uncorrected: -1.87 eV per atom

The structure in POSCAR format:
```
K2CuAuF6
1.0
0.000 4.268 4.268
4.268 0.000 4.268
4.268 4.268 0.000
K Cu Au F
2 1 1 6
Direct
0.250 0.250 0.250
0.750 0.750 0.750
0.000 0.000 0.000
0.500 0.500 0.500
0.235 0.235 0.765
0.235 0.765 0.235
0.235 0.765 0.765
0.765 0.235 0.235
0.765 0.235 0.765
0.765 0.765 0.235
```



(3)
Here is Fe3Co5 after structural relaxation from Alexandria via LeMat-Bulk. Energies are from GGA-PBE.

M_tot: 33.40 μB per cell
formation energy from the elements: 0.013 eV per atom

The structure in POSCAR format:
```
Fe3Co5
1.0
8.472 0.000 0.000
0.000 3.984 0.000
-1.928 0.000 5.383
Fe Co
6 10
Direct
0.000 0.000 0.000
0.001 0.500 0.255
0.248 0.000 0.872
0.500 0.500 0.000
0.501 0.000 0.255
0.748 0.500 0.872
0.249 0.500 0.626
0.250 0.500 0.121
0.251 0.000 0.372
0.495 0.000 0.755
0.499 0.500 0.498
0.749 0.000 0.626
0.750 0.000 0.121
0.751 0.500 0.372
0.995 0.500 0.755
0.999 0.000 0.498
```



(4)
Here is KSc7 after structural relaxation from Alexandria via LeMat-Bulk. Energies are from GGA-PBE.

M_tot: 4.24 μB per cell
formation energy from the elements: 0.396 eV per atom

The structure in POSCAR format:
```
KSc7
1.0
0.000 4.741 4.741
4.741 0.000 4.741
4.741 4.741 0.000
K Sc
1 7
Direct
0.000 0.000 0.000
0.000 0.000 0.500
0.000 0.500 0.000
0.000 0.500 0.500
0.500 0.000 0.000
0.500 0.000 0.500
0.500 0.500 0.000
0.500 0.500 0.500
```



(5)
Here is BaZnRh2 after structural relaxation from Alexandria via LeMat-Bulk. Energies are from GGA-PBE.

M_tot: 0.00 μB per cell
formation energy from the elements: 0.255 eV per atom

The structure in POSCAR format:
```
BaZnRh2
1.0
4.091 0.000 0.000
0.000 4.091 0.000
0.000 0.000 9.434
Ba Zn Rh
2 2 4
Direct
0.000 0.000 0.000
0.500 0.500 0.500
0.000 0.500 0.250
0.500 0.000 0.750
0.000 0.000 0.500
0.000 0.500 0.750
0.500 0.000 0.250
0.500 0.500 0.000
```



(6)
Here is Nd4Ho15In after structural relaxation from Alexandria via LeMat-Bulk. Energies are from GGA-PBE.

M_tot: 0.01 μB per cell
formation energy from the elements: -0.028 eV per atom

The structure in POSCAR format:
```
Nd4Ho15In
1.0
4.980 0.000 0.000
0.000 4.980 0.000
0.000 0.000 25.184
Nd Ho In
4 15 1
Direct
0.000 0.000 0.101
0.000 0.000 0.302
0.000 0.000 0.698
0.000 0.000 0.899
0.000 0.500 0.000
0.000 0.500 0.202
0.000 0.500 0.404
0.000 0.500 0.596
0.000 0.500 0.798
0.500 0.000 0.000
0.500 0.000 0.202
0.500 0.000 0.404
0.500 0.000 0.596
0.500 0.000 0.798
0.500 0.500 0.102
0.500 0.500 0.306
0.500 0.500 0.500
0.500 0.500 0.694
0.500 0.500 0.898
0.000 0.000 0.500
```



(7)
Here is Cr2SnPd8 after structural relaxation from Alexandria via LeMat-Bulk. Energies are from GGA-PBE.

M_tot: 6.51 μB per cell
formation energy from the elements: -0.121 eV per atom

The structure in POSCAR format:
```
Cr2SnPd8
1.0
-2.100 3.495 6.006
2.100 -3.495 6.006
2.100 3.495 -6.006
Cr Sn Pd
2 1 8
Direct
0.193 0.193 0.000
0.807 0.807 0.000
0.500 0.500 0.000
0.060 0.343 0.717
0.193 0.000 0.193
0.347 0.847 0.500
0.375 0.657 0.717
0.625 0.343 0.283
0.653 0.153 0.500
0.807 0.000 0.807
0.940 0.657 0.283
```



(8)
Here is Ac10TbNd4 after structural relaxation from Alexandria via LeMat-Bulk. Energies are from GGA-PBE.

M_tot: 0.00 μB per cell
formation energy from the elements: 0.583 eV per atom

The structure in POSCAR format:
```
Ac10TbNd4
1.0
-6.579 6.579 4.154
6.579 -6.579 4.154
6.579 6.579 -4.154
Ac Tb Nd
10 1 4
Direct
0.051 0.349 0.903
0.148 0.051 0.701
0.250 0.750 0.500
0.349 0.447 0.299
0.447 0.148 0.097
0.553 0.852 0.903
0.651 0.553 0.701
0.750 0.250 0.500
0.852 0.949 0.299
0.949 0.651 0.097
0.000 0.000 0.000
0.199 0.401 0.600
0.401 0.801 0.202
0.599 0.199 0.798
0.801 0.599 0.400
```



(9)
Here is Pa2Mn2Ni15 after structural relaxation from Alexandria via LeMat-Bulk. Energies are from GGA-PBE.

M_tot: 10.10 μB per cell
formation energy from the elements: -0.247 eV per atom
offset from the most stable computed form: 0.000 eV/atom

The structure in POSCAR format:
```
Pa2Mn2Ni15
1.0
4.130 2.385 4.078
-4.130 2.385 4.078
0.000 -4.769 4.078
Pa Mn Ni
2 2 15
Direct
0.158 0.158 0.158
0.842 0.842 0.842
0.399 0.399 0.399
0.601 0.601 0.601
0.000 0.500 0.500
0.154 0.154 0.658
0.154 0.658 0.154
0.195 0.500 0.805
0.195 0.805 0.500
0.342 0.846 0.846
0.500 0.000 0.500
0.500 0.195 0.805
0.500 0.500 0.000
0.500 0.805 0.195
0.658 0.154 0.154
0.805 0.195 0.500
0.805 0.500 0.195
0.846 0.342 0.846
0.846 0.846 0.342
```



(10)
Here is La2CoSe after structural relaxation from Alexandria via LeMat-Bulk. Energies are from GGA-PBE.

M_tot: 0.00 μB per cell
energy relative to the elements, uncorrected: -0.88 eV per atom

The structure in POSCAR format:
```
La2CoSe
1.0
4.240 0.000 0.000
0.000 4.240 0.000
0.000 0.000 5.947
La Co Se
2 1 1
Direct
0.000 0.000 0.000
0.500 0.500 0.500
0.000 0.000 0.500
0.500 0.500 0.000
```



(11)
Here is TlAs2I6 after structural relaxation from Alexandria via LeMat-Bulk. Energies are from GGA-PBE.

M_tot: 0.00 μB per cell
energy relative to the elements, uncorrected: -0.20 eV per atom

The structure in POSCAR format:
```
TlAs2I6
1.0
7.545 -6.695 0.000
7.545 6.695 0.000
-6.674 0.000 9.605
Tl As I
2 4 12
Direct
0.078 0.922 0.750
0.922 0.078 0.250
0.327 0.421 0.787
0.421 0.327 0.287
0.579 0.673 0.713
0.673 0.579 0.213
0.130 0.172 0.617
0.132 0.609 0.827
0.172 0.130 0.117
0.362 0.406 0.540
0.391 0.868 0.673
0.406 0.362 0.040
0.594 0.638 0.960
0.609 0.132 0.327
0.638 0.594 0.460
0.828 0.870 0.883
0.868 0.391 0.173
0.870 0.828 0.383
```



(12)
Here is CdOs2Ru after structural relaxation from Alexandria via LeMat-Bulk. Energies are from GGA-PBE.

M_tot: 0.00 μB per cell
formation energy from the elements: 1.058 eV per atom

The structure in POSCAR format:
```
CdOs2Ru
1.0
7.398 0.000 0.000
0.000 7.398 0.000
0.000 0.000 5.186
Cd Os Ru
4 8 4
Direct
0.000 0.000 0.000
0.000 0.500 0.250
0.500 0.000 0.750
0.500 0.500 0.500
0.198 0.250 0.625
0.250 0.698 0.875
0.250 0.802 0.375
0.302 0.250 0.125
0.698 0.750 0.125
0.750 0.198 0.375
0.750 0.302 0.875
0.802 0.750 0.625
0.000 0.000 0.500
0.000 0.500 0.750
0.500 0.000 0.250
0.500 0.500 0.000
```



(13)
Here is Ba3NpS6 after structural relaxation from Alexandria via LeMat-Bulk. Energies are from GGA-PBE.

M_tot: 2.00 μB per cell
energy relative to the elements, uncorrected: -1.65 eV per atom
offset from the most stable computed form: 0.033 eV/atom

The structure in POSCAR format:
```
Ba3NpS6
1.0
6.276 3.624 4.912
-6.276 3.624 4.912
0.000 -7.247 4.912
Ba Np S
6 2 12
Direct
0.071 0.752 0.574
0.248 0.426 0.929
0.426 0.929 0.248
0.574 0.071 0.752
0.752 0.574 0.071
0.929 0.248 0.426
0.000 0.000 0.000
0.500 0.500 0.500
0.049 0.721 0.930
0.070 0.951 0.279
0.222 0.428 0.563
0.279 0.070 0.951
0.428 0.563 0.222
0.437 0.778 0.572
0.563 0.222 0.428
0.572 0.437 0.778
0.721 0.930 0.049
0.778 0.572 0.437
0.930 0.049 0.721
0.951 0.279 0.070
```



(14)
Here is Tc3HgAu after structural relaxation from Alexandria via LeMat-Bulk. Energies are from GGA-PBE.

M_tot: 8.68 μB per cell
formation energy from the elements: 2.156 eV per atom
offset from the most stable computed form: 0.000 eV/atom

The structure in POSCAR format:
```
Tc3HgAu
1.0
4.976 0.000 0.000
0.000 4.976 0.000
0.000 0.000 4.976
Tc Hg Au
3 1 1
Direct
0.000 0.000 0.500
0.000 0.500 0.000
0.500 0.000 0.000
0.500 0.500 0.500
0.000 0.000 0.000
```



(15)
Here is Rb2MnTeI6 after structural relaxation from Alexandria via LeMat-Bulk. Energies are from GGA-PBE.

M_tot: 3.63 μB per cell
energy relative to the elements, uncorrected: -0.65 eV per atom

The structure in POSCAR format:
```
Rb2MnTeI6
1.0
-4.318 4.318 5.983
4.318 -4.318 5.983
4.318 4.318 -5.983
Rb Mn Te I
2 1 1 6
Direct
0.250 0.750 0.500
0.750 0.250 0.500
0.000 0.000 0.000
0.500 0.500 0.000
0.227 0.227 0.453
0.227 0.773 0.000
0.254 0.254 0.000
0.746 0.746 0.000
0.773 0.227 0.000
0.773 0.773 0.547
```



(16)
Here is GaIrN2 after structural relaxation from Alexandria via LeMat-Bulk. Energies are from GGA-PBE.

M_tot: 0.00 μB per cell
energy relative to the elements, uncorrected: 0.46 eV per atom

The structure in POSCAR format:
```
GaIrN2
1.0
2.941 0.000 0.000
-1.471 2.547 0.000
0.000 0.000 18.383
Ga Ir N
3 3 6
Direct
0.000 0.000 0.000
0.333 0.667 0.667
0.667 0.333 0.333
0.000 0.000 0.500
0.333 0.667 0.167
0.667 0.333 0.833
0.000 0.000 0.397
0.000 0.000 0.603
0.333 0.667 0.064
0.333 0.667 0.269
0.667 0.333 0.731
0.667 0.333 0.936
```



(17)
Here is Pm2YPd4 after structural relaxation from Alexandria via LeMat-Bulk. Energies are from GGA-PBE.

M_tot: 0.00 μB per cell
formation energy from the elements: -0.766 eV per atom

The structure in POSCAR format:
```
Pm2YPd4
1.0
8.827 0.000 0.000
0.000 7.364 0.000
-1.803 0.000 4.905
Pm Y Pd
4 2 8
Direct
0.165 0.000 0.356
0.335 0.500 0.644
0.665 0.500 0.356
0.835 0.000 0.644
0.000 0.500 0.000
0.500 0.000 0.000
0.000 0.304 0.500
0.000 0.696 0.500
0.250 0.250 0.000
0.250 0.750 0.000
0.500 0.196 0.500
0.500 0.804 0.500
0.750 0.250 0.000
0.750 0.750 0.000
```



(18)
Here is MnBW3 after structural relaxation from Alexandria via LeMat-Bulk. Energies are from GGA-PBE.

M_tot: 0.00 μB per cell
formation energy from the elements: 2.135 eV per atom
offset from the most stable computed form: 1.654 eV/atom

The structure in POSCAR format:
```
MnBW3
1.0
4.414 0.000 0.000
0.000 4.414 0.000
0.000 0.000 4.414
Mn B W
1 1 3
Direct
0.000 0.000 0.000
0.500 0.500 0.500
0.000 0.000 0.500
0.000 0.500 0.000
0.500 0.000 0.000
```



(19)
Here is Er4Bi2Sb after structural relaxation from Alexandria via LeMat-Bulk. Energies are from GGA-PBE.

M_tot: 0.00 μB per cell
energy relative to the elements, uncorrected: -0.61 eV per atom

The structure in POSCAR format:
```
Er4Bi2Sb
1.0
-4.765 4.776 4.783
4.765 -4.776 4.783
4.765 4.776 -4.783
Er Bi Sb
8 4 2
Direct
0.112 0.124 0.117
0.113 0.989 0.496
0.387 0.883 0.876
0.388 0.504 0.012
0.507 0.511 0.624
0.507 0.996 0.383
0.993 0.376 0.488
0.993 0.617 0.004
0.558 0.308 0.250
0.559 0.250 0.809
0.941 0.750 0.691
0.942 0.192 0.750
0.250 0.625 0.375
0.750 0.875 0.125
```



(20)
Here is Ba2ThTe5Au after structural relaxation from Alexandria via LeMat-Bulk. Energies are from GGA-PBE.

M_tot: 0.00 μB per cell
energy relative to the elements, uncorrected: -1.20 eV per atom

The structure in POSCAR format:
```
Ba2ThTe5Au
1.0
2.279 -10.233 0.000
2.279 10.233 0.000
0.000 0.000 14.039
Ba Th Te Au
4 2 10 2
Direct
0.115 0.885 0.500
0.124 0.876 0.855
0.876 0.124 0.355
0.885 0.115 0.000
0.188 0.812 0.182
0.812 0.188 0.682
0.033 0.967 0.199
0.303 0.697 0.526
0.304 0.696 0.836
0.341 0.659 0.176
0.498 0.502 0.421
0.502 0.498 0.921
0.659 0.341 0.676
0.696 0.304 0.336
0.697 0.303 0.026
0.967 0.033 0.699
0.434 0.566 0.596
0.566 0.434 0.096
```